No. 1
NaMg6GaO8 | PBE | relaxed Values from VASP.

Results
- symmetry = P4/mmm (123)
- E (eV per atom) = -5.74
- magnetic moment (μB per atom) = 0.0000
- raw formation energy (eV per atom) = -2.39

```
&SYSTEM
  ibrav = 0, nat = 16, ntyp = 4
/
ATOMIC_SPECIES
O 16.00 O.upf
Na 22.99 Na.upf
Mg 24.30 Mg.upf
Ga 69.72 Ga.upf
CELL_PARAMETERS angstrom
-2.5161 -1.9453 -2.8517
3.3378 -2.2710 -1.3959
-1.7730 -6.1432 5.7550
ATOMIC_POSITIONS crystal
O 0.5000 0.5000 0.2364
O 0.0000 0.0000 0.2647
O 0.5000 0.0000 0.5000
O 0.0000 0.5000 0.0000
O 0.5000 0.0000 0.0000
O 0.0000 0.5000 0.5000
O 0.5000 0.5000 0.7636
O 0.0000 0.0000 0.7353
Na 0.0000 0.0000 0.0000
Mg 0.5000 0.5000 0.5000
Mg 0.5000 0.0000 0.7519
Mg 0.0000 0.5000 0.7519
Mg 0.5000 0.0000 0.2481
Mg 0.0000 0.5000 0.2481
Mg 0.0000 0.0000 0.5000
Ga 0.5000 0.5000 0.0000
```

No. 2
K2Al2O2F9 | PBE | relaxed Values from VASP.

Results
- symmetry = P2_1/c (14)
- E (eV per atom) = -4.82
- magnetic moment (μB per atom) = 0.3250
- raw formation energy (eV per atom) = -2.39

```
&SYSTEM
  ibrav = 0, nat = 30, ntyp = 4
/
ATOMIC_SPECIES
F 19.00 F.upf
K 39.10 K.upf
Al 26.98 Al.upf
O 16.00 O.upf
CELL_PARAMETERS angstrom
-4.2201 -11.6670 2.4006
1.8339 0.0043 3.2450
-7.4454 3.5717 4.2702
ATOMIC_POSITIONS crystal
F 0.5000 0.5000 0.5000
F 0.8077 0.5012 0.9201
F 0.9393 0.4910 0.2571
F 0.4337 0.9975 0.6735
F 0.1923 0.4988 0.0799
F 0.5607 0.4910 0.7571
F 0.0000 0.5000 0.0000
F 0.1420 0.5010 0.3439
F 0.0663 0.9975 0.1735
F 0.8580 0.4990 0.6561
F 0.6923 0.5012 0.4201
F 0.0607 0.5090 0.7429
F 0.3077 0.4988 0.5799
F 0.3580 0.5010 0.8439
F 0.5663 0.0025 0.3265
F 0.6420 0.4990 0.1561
F 0.9337 0.0025 0.8265
F 0.4393 0.5090 0.2429
K 0.2985 0.0018 0.3624
K 0.7985 0.9982 0.1376
K 0.7015 0.9982 0.6376
K 0.2015 0.0018 0.8624
Al 0.4293 0.4974 0.6748
Al 0.9293 0.5026 0.8252
Al 0.0707 0.4974 0.1748
Al 0.5707 0.5026 0.3252
O 0.9466 0.6944 0.4740
O 0.4466 0.3056 0.0260
O 0.0534 0.3056 0.5260
O 0.5534 0.6944 0.9740
```

No. 3
SmTaO4 | PBE | relaxed Values from VASP.

Results
- symmetry = Cmc2_1 (36)
- E (eV per atom) = -9.25
- magnetic moment (μB per atom) = 0.0000
- raw formation energy (eV per atom) = -3.18

```
&SYSTEM
  ibrav = 0, nat = 12, ntyp = 3
/
ATOMIC_SPECIES
O 16.00 O.upf
Ta 180.95 Ta.upf
Sm 150.36 Sm.upf
CELL_PARAMETERS angstrom
7.8333 -0.0236 0.0000
-6.8388 3.8201 0.0000
0.0000 0.0000 5.5510
ATOMIC_POSITIONS crystal
O 0.0943 0.9057 0.7641
O 0.9057 0.0943 0.2641
O 0.3007 0.6993 0.0921
O 0.6664 0.3336 0.0798
O 0.4747 0.5253 0.9734
O 0.3336 0.6664 0.5798
O 0.5253 0.4747 0.4734
O 0.6993 0.3007 0.5921
Ta 0.5847 0.4153 0.8093
Ta 0.4153 0.5847 0.3093
Sm 0.8129 0.1871 0.8661
Sm 0.1871 0.8129 0.3661
```

No. 4
Bi2HRh | PBE | relaxed Values from VASP.

Results
- symmetry = Fm-3m (225)
- polymorph energy (0 for the lowest one) (eV/atom) = 0.3087
- E (eV per atom) = -4.40
- magnetic moment (μB per atom) = 0.0000

```
&SYSTEM
  ibrav = 0, nat = 4, ntyp = 3
/
ATOMIC_SPECIES
Rh 102.91 Rh.upf
H 1.01 H.upf
Bi 208.98 Bi.upf
CELL_PARAMETERS angstrom
0.0000 3.3456 3.3456
3.3456 0.0000 3.3456
3.3456 3.3456 0.0000
ATOMIC_POSITIONS crystal
Rh 0.5000 0.5000 0.5000
H 0.0000 0.0000 0.0000
Bi 0.7500 0.7500 0.7500
Bi 0.2500 0.2500 0.2500
```

No. 5
Mg4CuPd | PBE | relaxed Values from VASP.

Results
- symmetry = I422 (97)
- polymorph energy (0 for the lowest one) (eV/atom) = 0.0000
- E (eV per atom) = -2.95
- magnetic moment (μB per atom) = 0.0000
- calculated formation energy (meV per atom) = -334

```
&SYSTEM
  ibrav = 0, nat = 6, ntyp = 3
/
ATOMIC_SPECIES
Mg 24.30 Mg.upf
Cu 63.55 Cu.upf
Pd 106.42 Pd.upf
CELL_PARAMETERS angstrom
-0.5509 -3.2113 -4.1758
1.4357 -2.1274 4.6332
-4.8179 2.0354 0.8360
ATOMIC_POSITIONS crystal
Mg 0.9209 0.4209 0.8418
Mg 0.4209 0.5791 0.5000
Mg 0.5791 0.0791 0.1582
Mg 0.0791 0.9209 0.5000
Cu 0.5000 0.5000 0.0000
Pd 0.0000 0.0000 0.0000
```

No. 6
ZrNi6 | PBE | relaxed Values from VASP.

Results
- symmetry = Pm-3m (221)
- polymorph energy (0 for the lowest one) (eV/atom) = 1.5593
- E (eV per atom) = -4.83
- magnetic moment (μB per atom) = 0.8216
- calculated formation energy (meV per atom) = 1349

```
&SYSTEM
  ibrav = 0, nat = 7, ntyp = 2
/
ATOMIC_SPECIES
Ni 58.69 Ni.upf
Zr 91.22 Zr.upf
CELL_PARAMETERS angstrom
-5.0689 0.8780 1.1057
0.8959 -1.1848 5.0479
1.0913 5.0510 0.9919
ATOMIC_POSITIONS crystal
Ni 0.5000 0.1963 0.5000
Ni 0.5000 0.5000 0.1963
Ni 0.5000 0.5000 0.8037
Ni 0.8037 0.5000 0.5000
Ni 0.5000 0.8037 0.5000
Ni 0.1963 0.5000 0.5000
Zr 0.0000 0.0000 0.0000
```

No. 7
LiTaAs2 | PBE | relaxed Values from VASP.

Results
- symmetry = P4mm (99)
- polymorph energy (0 for the lowest one) (eV/atom) = 0.5006
- E (eV per atom) = -5.70
- magnetic moment (μB per atom) = 0.0000
- calculated formation energy (meV per atom) = 65

```
&SYSTEM
  ibrav = 0, nat = 4, ntyp = 3
/
ATOMIC_SPECIES
Ta 180.95 Ta.upf
As 74.92 As.upf
Li 6.94 Li.upf
CELL_PARAMETERS angstrom
2.8004 0.0000 0.0000
0.0000 2.8004 0.0000
0.0000 0.0000 10.1076
ATOMIC_POSITIONS crystal
Ta 0.5000 0.5000 0.7380
As 0.0000 0.0000 0.9395
As 0.5000 0.5000 0.3192
Li 0.0000 0.0000 0.5033
```

No. 8
Ac12PmSm7 | PBE | relaxed Values from VASP.

Results
- symmetry = R-3m (166)
- E (eV per atom) = -4.15
- magnetic moment (μB per atom) = 0.0000
- calculated formation energy (meV per atom) = 201

```
&SYSTEM
  ibrav = 0, nat = 20, ntyp = 3
/
ATOMIC_SPECIES
Ac 227.00 Ac.upf
Sm 150.36 Sm.upf
Pm 145.00 Pm.upf
CELL_PARAMETERS angstrom
6.5308 0.0000 -1.3441
-3.3887 10.4117 -5.4397
0.2466 0.0000 12.2236
ATOMIC_POSITIONS crystal
Ac 0.9136 0.3461 0.3462
Ac 0.9121 0.8251 0.4125
Ac 0.5674 0.6538 0.9999
Ac 0.4996 0.5875 0.4126
Ac 0.0879 0.1749 0.5875
Ac 0.4325 0.9999 0.3461
Ac 0.4326 0.3462 0.0001
Ac 0.5675 0.0001 0.6539
Ac 0.9130 0.4126 0.8251
Ac 0.0864 0.6539 0.6538
Ac 0.5004 0.4125 0.5874
Ac 0.0870 0.5874 0.1749
Sm 0.5000 0.0000 0.0000
Sm 0.8920 0.2430 0.0000
Sm 0.1080 0.7570 0.0000
Sm 0.8920 0.0000 0.2430
Sm 0.6490 0.7570 0.7570
Sm 0.1080 0.0000 0.7570
Sm 0.3510 0.2430 0.2430
Pm 0.0000 0.0000 0.0000
```

No. 9
CdFeSeBr2 | PBE | relaxed Values from VASP.

Results
- symmetry = P4/mmm (123)
- polymorph energy (0 for the lowest one) (eV/atom) = 0.0000
- E (eV per atom) = -3.15
- magnetic moment (μB per atom) = 0.0000
- raw formation energy (eV per atom) = 0.09

```
&SYSTEM
  ibrav = 0, nat = 5, ntyp = 4
/
ATOMIC_SPECIES
Se 78.96 Se.upf
Fe 55.84 Fe.upf
Cd 112.41 Cd.upf
Br 79.90 Br.upf
CELL_PARAMETERS angstrom
5.1022 0.0000 0.0000
0.0000 5.1022 0.0000
0.0000 0.0000 4.5317
ATOMIC_POSITIONS crystal
Se 0.0000 0.0000 0.5000
Fe 0.0000 0.0000 0.0000
Cd 0.5000 0.5000 0.5000
Br 0.5000 0.0000 0.0000
Br 0.0000 0.5000 0.0000
```

No. 10
Sr2LaPt9 | PBE | relaxed Values from VASP.

Results
- symmetry = R-3m (166)
- E (eV per atom) = -6.03
- magnetic moment (μB per atom) = 0.0000
- calculated formation energy (meV per atom) = -811

```
&SYSTEM
  ibrav = 0, nat = 12, ntyp = 3
/
ATOMIC_SPECIES
Pt 195.08 Pt.upf
Sr 87.62 Sr.upf
La 138.91 La.upf
CELL_PARAMETERS angstrom
5.2739 0.0000 1.5696
2.4034 4.6944 1.5696
0.0281 0.0172 9.5505
ATOMIC_POSITIONS crystal
Pt 0.5835 0.5835 0.7518
Pt 0.9187 0.4165 0.2482
Pt 0.4165 0.9187 0.2482
Pt 0.5000 0.5000 0.5000
Pt 0.4165 0.4165 0.2482
Pt 0.0813 0.5835 0.7518
Pt 0.5835 0.0813 0.7518
Pt 0.3325 0.3325 0.0026
Pt 0.6675 0.6675 0.9974
Sr 0.1418 0.1418 0.5747
Sr 0.8582 0.8582 0.4253
La 0.0000 0.0000 0.0000
```